Record 1
The following is a DFT calculation (PBE) of a relaxed structure of TiAlO.

Properties
**Raw formation energy**: -150.9 kJ/mol of atoms
**Volume**: 37 Å³ per cell
**Spin magnetization**: 0.00 μB per atom

Lattice parameters (Å, degrees): 2.8658 2.8658 4.5528 90.00 90.00 90.00
Closest atoms and distances in Å follow each position.
Positions (direct):
Al (0.0000, 0.0000, 0.3719)  1 O 1.85
Ti (0.5000, 0.5000, 0.9582)  4 O 2.19
O (0.0000, 0.0000, 0.7784)  1 Al 1.85

Record 2
The following is a DFT calculation (PBE) of a relaxed structure of TiAlO2.

Properties
**Raw formation energy**: -220.6 kJ/mol of atoms
**Volume**: 43 Å³ per cell
**Spin magnetization**: 0.25 μB per atom

Lattice parameters (Å, degrees): 6.2269 6.2269 6.2269 26.67 26.67 26.67
Closest atoms and distances in Å follow each position.
Positions (direct):
O (0.1127, 0.1127, 0.1127)  3 Al 1.92, 1 Ti 2.03
O (0.8873, 0.8873, 0.8873)  3 Al 1.92, 1 Ti 2.03
Ti (0.0000, 0.0000, 0.0000)  2 O 2.03
Al (0.5000, 0.5000, 0.5000)  6 O 1.92

Record 3
The following is a DFT calculation (PBE) of a relaxed structure of TiAlO3.

Properties
**Raw formation energy**: -187.7 kJ/mol of atoms
**Volume**: 56 Å³ per cell
**Spin magnetization**: 0.00 μB per atom

Lattice parameters (Å, degrees): 3.8253 3.8253 3.8253 90.00 90.00 90.00
Closest atoms and distances in Å follow each position.
Positions (direct):
Al (0.5000, 0.5000, 0.5000)  12 O 2.70
O (0.5000, 0.0000, 0.0000)  2 Ti 1.91
O (0.0000, 0.0000, 0.5000)  2 Ti 1.91
O (0.0000, 0.5000, 0.0000)  2 Ti 1.91
Ti (0.0000, 0.0000, 0.0000)  6 O 1.91

Record 4
The following is a DFT calculation (PBE) of a relaxed structure of TiAl2O6.

Properties
**Raw formation energy**: -235.9 kJ/mol of atoms
**Volume**: 178 Å³ per cell
**Spin magnetization**: 0.22 μB per atom

Lattice parameters (Å, degrees): 4.5111 4.5111 8.7472 90.00 90.00 90.00
Closest atoms and distances in Å follow each position.
Positions (direct):
O (0.1936, 0.8064, 0.5000)  2 Al 1.91, 1 Ti 1.95
O (0.6936, 0.6936, 0.0000)  2 Al 1.91, 1 Ti 1.95
O (0.3064, 0.3064, 0.0000)  2 Al 1.91, 1 Ti 1.95
O (0.2983, 0.2983, 0.6708)  2 Al 1.90-1.92, 1 Ti 1.97
O (0.7983, 0.2017, 0.8292)  2 Al 1.90-1.92, 1 Ti 1.97
O (0.7017, 0.7017, 0.6708)  2 Al 1.90-1.92, 1 Ti 1.97
O (0.7017, 0.7017, 0.3292)  2 Al 1.90-1.92, 1 Ti 1.97
O (0.2017, 0.7983, 0.8292)  2 Al 1.90-1.92, 1 Ti 1.97
O (0.2017, 0.7983, 0.1708)  2 Al 1.90-1.92, 1 Ti 1.97
O (0.7983, 0.2017, 0.1708)  2 Al 1.90-1.92, 1 Ti 1.97
O (0.8064, 0.1936, 0.5000)  2 Al 1.91, 1 Ti 1.95
O (0.2983, 0.2983, 0.3292)  2 Al 1.90-1.92, 1 Ti 1.97
Al (0.5000, 0.5000, 0.8337)  6 O 1.90-1.92
Al (0.0000, 0.0000, 0.6663)  6 O 1.90-1.92
Al (0.0000, 0.0000, 0.3337)  6 O 1.90-1.92
Al (0.5000, 0.5000, 0.1663)  6 O 1.90-1.92
Ti (0.5000, 0.5000, 0.5000)  6 O 1.95-1.97
Ti (0.0000, 0.0000, 0.0000)  6 O 1.95-1.97

Record 5
The following is a DFT calculation (PBE) of a relaxed structure of TiAl3O6.

Properties
**Raw formation energy**: -278.2 kJ/mol of atoms
**Volume**: 93 Å³ per cell
**Spin magnetization**: 0.10 μB per atom

Lattice parameters (Å, degrees): 4.9141 4.9141 5.2771 62.25 62.25 60.00
Closest atoms and distances in Å follow each position.
Positions (direct):
O (0.5342, 0.2764, 0.2460)  3 Al 1.87-2.02, 1 Ti 2.00
O (0.2764, 0.9435, 0.2460)  3 Al 1.87-2.02, 1 Ti 2.00
O (0.9435, 0.5342, 0.2460)  3 Al 1.87-2.02, 1 Ti 2.00
O (0.0576, 0.4308, 0.7590)  3 Al 1.89-2.02
O (0.7525, 0.0576, 0.7590)  3 Al 1.89-2.02
O (0.4308, 0.7525, 0.7590)  3 Al 1.89-2.02
Al (0.3513, 0.3513, 0.9462)  6 O 1.90-1.97
Al (0.6495, 0.6495, 0.0514)  6 O 1.87-2.02
Al (0.1469, 0.1469, 0.5593)  6 O 1.89-2.02
Ti (0.8573, 0.8573, 0.4280)  6 O 2.00-2.13

Record 6
The following is a DFT calculation (PBE) of a relaxed structure of Ti7Al2O15.

Properties
**Raw formation energy**: -285.3 kJ/mol of atoms
**Volume**: 257 Å³ per cell
**Spin magnetization**: 0.14 μB per atom

Lattice parameters (Å, degrees): 9.2148 9.2148 9.5450 81.67 81.67 18.69
Closest atoms and distances in Å follow each position.
Positions (direct):
O (0.0083, 0.0083, 0.7854)  3 Ti 1.98-2.03
O (0.2267, 0.2267, 0.3962)  1 Al 1.81
O (0.5739, 0.5739, 0.9916)  3 Ti 1.88-2.01
O (0.6202, 0.6202, 0.6061)  3 Ti 1.96-1.99
O (0.1995, 0.1995, 0.0926)  1 Al 1.81
O (0.8135, 0.8135, 0.1842)  3 Ti 1.90-1.98
O (0.4261, 0.4261, 0.0084)  3 Ti 1.88-2.01
O (0.1865, 0.1865, 0.8158)  3 Ti 1.90-1.98
O (0.9917, 0.9917, 0.2146)  3 Ti 1.98-2.03
O (0.3798, 0.3798, 0.3939)  3 Ti 1.96-1.99
O (0.8005, 0.8005, 0.9074)  1 Al 1.81
O (0.0000, 0.0000, 0.5000)  4 Ti 2.09
O (0.3927, 0.3927, 0.6946)  2 Al 1.76
O (0.6073, 0.6073, 0.3054)  2 Al 1.76
O (0.7733, 0.7733, 0.6038)  1 Al 1.81
Ti (0.1892, 0.1892, 0.6163)  4 O 1.90-2.11
Ti (0.4904, 0.4904, 0.3510)  6 O 1.98-2.11
Ti (0.3218, 0.3218, 0.0467)  5 O 1.88-2.08
Ti (0.6782, 0.6782, 0.9533)  5 O 1.88-2.08
Ti (0.0000, 0.0000, 0.0000)  6 O 2.01-2.03
Ti (0.8108, 0.8108, 0.3837)  4 O 1.90-2.11
Ti (0.5096, 0.5096, 0.6490)  6 O 1.98-2.11
Al (0.1578, 0.1578, 0.2768)  4 O 1.76-1.81
Al (0.8422, 0.8422, 0.7232)  4 O 1.76-1.81

Record 7
The following is a DFT calculation (PBE) of a relaxed structure of TiAlO3.

Properties
**Raw formation energy**: -259.6 kJ/mol of atoms
**Volume**: 105 Å³ per cell
**Spin magnetization**: 0.00 μB per atom

Lattice parameters (Å, degrees): 3.1792 3.1792 12.0518 90.00 90.00 120.00
Closest atoms and distances in Å follow each position.
Positions (direct):
O (0.3333, 0.6667, 0.4244)  3 Al 2.05, 1 Ti 2.10
O (0.6667, 0.3333, 0.9244)  3 Al 2.05, 1 Ti 2.10
O (0.3333, 0.6667, 0.0756)  3 Al 2.05, 1 Ti 2.10
O (0.6667, 0.3333, 0.5756)  3 Al 2.05, 1 Ti 2.10
O (0.0000, 0.0000, 0.7500)  3 Ti 1.84
O (0.0000, 0.0000, 0.2500)  3 Ti 1.84
Ti (0.3333, 0.6667, 0.2500)  3 O 1.84
Ti (0.6667, 0.3333, 0.7500)  3 O 1.84
Al (0.0000, 0.0000, 0.0000)  6 O 2.05
Al (0.0000, 0.0000, 0.5000)  6 O 2.05

Record 8
The following is a DFT calculation (PBE) of a relaxed structure of TiAlO3.

Properties
**Raw formation energy**: -273.9 kJ/mol of atoms
**Volume**: 113 Å³ per cell
**Spin magnetization**: 0.20 μB per atom

Lattice parameters (Å, degrees): 3.0946 5.1131 7.3063 102.62 90.00 90.00
Closest atoms and distances in Å follow each position.
Positions (direct):
O (0.7500, 0.8044, 0.9509)  2 Al 1.77
O (0.7500, 0.4520, 0.3481)  1 Al 1.91, 3 Ti 2.06-2.07
O (0.7500, 0.9563, 0.3444)  1 Al 1.86
O (0.2500, 0.5480, 0.6519)  1 Al 1.91, 3 Ti 2.06-2.07
O (0.2500, 0.1956, 0.0491)  2 Al 1.77
O (0.2500, 0.0437, 0.6556)  1 Al 1.86
Al (0.2500, 0.8624, 0.8497)  4 O 1.77-1.91
Al (0.7500, 0.1376, 0.1503)  4 O 1.77-1.91
Ti (0.2500, 0.7221, 0.4209)  6 O 2.06-2.11
Ti (0.7500, 0.2779, 0.5791)  6 O 2.06-2.11